Record 1
Entry from the Open Quantum Materials Database: a geometry-optimized SbPd15 structure (PBE).

Output
The calculation puts the offset from the most stable computed form at 0.22 kcal/mol of atoms. The space group is Pccm, No. 49.

Cell: 3.9637 7.9355 40.7278 Å, 90.00 90.00 90.00°
Fractional coordinates of all 64 atoms:
Pd  0.7500  0.1145  0.1394
Pd  0.2500  0.8855  0.1394
Pd  0.7500  0.3774  0.1865
Pd  0.2500  0.6226  0.1865
Pd  0.2500  0.1214  0.1906
Pd  0.7500  0.8786  0.1906
Pd  0.2500  0.3784  0.2370
Pd  0.7500  0.6216  0.2370
Pd  0.7500  0.1290  0.2383
Pd  0.2500  0.8710  0.2383
Pd  0.2500  0.1268  0.2855
Pd  0.7500  0.8732  0.2855
Pd  0.7500  0.3776  0.2861
Pd  0.2500  0.6224  0.2861
Pd  0.7500  0.1242  0.3331
Pd  0.2500  0.8758  0.3331
Pd  0.2500  0.3743  0.3337
Pd  0.7500  0.6257  0.3337
Pd  0.2500  0.1246  0.3810
Pd  0.7500  0.8754  0.3810
Pd  0.7500  0.3746  0.3810
Pd  0.2500  0.6254  0.3810
Pd  0.2500  0.3748  0.4286
Pd  0.7500  0.6252  0.4286
Pd  0.7500  0.1249  0.4286
Pd  0.2500  0.8751  0.4286
Pd  0.7500  0.3750  0.4762
Pd  0.2500  0.6250  0.4762
Pd  0.2500  0.1250  0.4762
Pd  0.7500  0.8750  0.4762
Pd  0.7500  0.1250  0.5238
Pd  0.2500  0.8750  0.5238
Pd  0.2500  0.3750  0.5238
Pd  0.7500  0.6250  0.5238
Pd  0.2500  0.1249  0.5714
Pd  0.7500  0.8751  0.5714
Pd  0.7500  0.3748  0.5714
Pd  0.2500  0.6252  0.5714
Pd  0.2500  0.3746  0.6190
Pd  0.7500  0.6254  0.6190
Pd  0.7500  0.1247  0.6191
Pd  0.2500  0.8753  0.6191
Pd  0.7500  0.3744  0.6663
Pd  0.2500  0.6256  0.6663
Pd  0.2500  0.1243  0.6669
Pd  0.7500  0.8757  0.6669
Pd  0.2500  0.3775  0.7139
Pd  0.7500  0.6225  0.7139
Pd  0.7500  0.1268  0.7144
Pd  0.2500  0.8732  0.7144
Pd  0.2500  0.1289  0.7617
Pd  0.7500  0.8711  0.7617
Pd  0.7500  0.3782  0.7629
Pd  0.2500  0.6218  0.7629
Pd  0.7500  0.1213  0.8094
Pd  0.2500  0.8787  0.8094
Pd  0.2500  0.3772  0.8135
Pd  0.7500  0.6228  0.8135
Pd  0.2500  0.1147  0.8607
Pd  0.7500  0.8853  0.8607
Sb  0.2500  0.3313  0.1399
Sb  0.7500  0.6687  0.1399
Sb  0.7500  0.3314  0.8601
Sb  0.2500  0.6686  0.8601


Record 2
Entry from the Open Quantum Materials Database: a geometry-optimized Lu4Ta2Si3C3 structure (PBE).

Output
The space group is C2/c, No. 15. The uncorrected energy is -7.773 eV per atom.

Cell: 5.8297 5.8297 13.9629 Å, 102.49 102.49 60.23°
Fractional coordinates of all 24 atoms:
C  0.0000  0.5000  0.0000
C  0.3441  0.8116  0.0002
C  0.1884  0.6559  0.4998
C  0.5000  0.0000  0.5000
C  0.8116  0.3441  0.5002
C  0.6559  0.1884  0.9998
Lu  0.7014  0.8780  0.1027
Lu  0.0435  0.1931  0.1028
Lu  0.8069  0.9565  0.3972
Lu  0.1220  0.2986  0.3973
Lu  0.8780  0.7014  0.6027
Lu  0.1931  0.0435  0.6028
Lu  0.9565  0.8069  0.8972
Lu  0.2986  0.1220  0.8973
Si  0.6667  0.5844  0.2482
Si  0.1661  0.8339  0.2500
Si  0.4156  0.3333  0.2518
Si  0.5844  0.6667  0.7482
Si  0.8339  0.1661  0.7500
Si  0.3333  0.4156  0.7518
Ta  0.3512  0.5266  0.0784
Ta  0.4734  0.6488  0.4216
Ta  0.5266  0.3512  0.5784
Ta  0.6488  0.4734  0.9216


Record 3
Entry from the Open Quantum Materials Database: a geometry-optimized ErPbW structure (PBE).

Output
The calculation puts the offset from the most stable computed form at 0.00 kcal/mol of atoms. The space group is F-43m, No. 216.

Cell: 4.7774 4.7774 4.7774 Å, 60.00 60.00 60.00°
Fractional coordinates of all 3 atoms:
Er  0.2500  0.2500  0.2500
Pb  0.0000  0.0000  0.0000
W  0.7500  0.7500  0.7500


Record 4
Entry from the Open Quantum Materials Database: a geometry-optimized RbZr2 structure (PBE).

Output
The calculation puts the offset from the most stable computed form at 0.00 kcal/mol of atoms. The space group is Pmmn, No. 59.

Cell: 10.1072 8.6110 4.6836 Å, 90.00 90.00 90.00°
Fractional coordinates of all 12 atoms:
Rb  0.0263  0.0479  0.0000
Rb  0.0263  0.6187  0.0000
Rb  0.8070  0.1187  0.5000
Rb  0.8070  0.5479  0.5000
Zr  0.5179  0.0894  0.0000
Zr  0.3084  0.3333  0.0000
Zr  0.5179  0.5773  0.0000
Zr  0.3289  0.8333  0.0000
Zr  0.3154  0.0773  0.5000
Zr  0.5045  0.3333  0.5000
Zr  0.3154  0.5894  0.5000
Zr  0.5249  0.8333  0.5000